This record from Alexandria via LeMat-Bulk describes a relaxed NiOs2Pb crystal. The functional is PBE.

a b c (Å): 4.0330 4.0330 7.6951
angles (deg): 90.00 90.00 90.00
Fractional coordinates of all 8 atoms:
1 Ni 0.0000 0.0000 0.0000
2 Ni 0.5000 0.5000 0.5000
3 Os 0.0000 0.0000 0.5000
4 Os 0.0000 0.5000 0.7500
5 Os 0.5000 0.0000 0.2500
6 Os 0.5000 0.5000 0.0000
7 Pb 0.0000 0.5000 0.2500
8 Pb 0.5000 0.0000 0.7500

## Properties
* ΔH_f (0 K): 295.4 kJ/mol of formula units
* symmetry: I-4m2

***

This record from Alexandria via LeMat-Bulk describes a relaxed AcCdGa2 crystal. The functional is PBE.

a b c (Å): 4.6042 4.6042 16.7506
angles (deg): 90.00 90.00 120.00
Fractional coordinates of all 12 atoms:
1 Ac 0.0000 0.0000 0.0000
2 Ac 0.3333 0.6667 0.6667
3 Ac 0.6667 0.3333 0.3333
4 Cd 0.0000 0.0000 0.5000
5 Cd 0.3333 0.6667 0.1667
6 Cd 0.6667 0.3333 0.8333
7 Ga 0.0000 0.0000 0.2192
8 Ga 0.0000 0.0000 0.7808
9 Ga 0.3333 0.6667 0.4474
10 Ga 0.3333 0.6667 0.8859
11 Ga 0.6667 0.3333 0.1141
12 Ga 0.6667 0.3333 0.5526

## Properties
* excess energy over the best structure of this formula in the dataset: 9.0 kJ/mol of atoms
* ΔH_f (0 K): -155.3 kJ/mol of formula units
* symmetry: R-3m

***

This record from Alexandria via LeMat-Bulk describes a relaxed KP2Os crystal. The functional is PBE.

a b c (Å): 6.7034 6.7034 10.0558
angles (deg): 90.00 90.00 90.00
Fractional coordinates of all 16 atoms:
1 K 0.0000 0.0000 0.0000
2 K 0.0000 0.5000 0.2500
3 K 0.5000 0.0000 0.7500
4 K 0.5000 0.5000 0.5000
5 P 0.1108 0.2500 0.6250
6 P 0.2500 0.6108 0.8750
7 P 0.2500 0.8892 0.3750
8 P 0.3892 0.2500 0.1250
9 P 0.6108 0.7500 0.1250
10 P 0.7500 0.1108 0.3750
11 P 0.7500 0.3892 0.8750
12 P 0.8892 0.7500 0.6250
13 Os 0.0000 0.0000 0.5000
14 Os 0.0000 0.5000 0.7500
15 Os 0.5000 0.0000 0.2500
16 Os 0.5000 0.5000 0.0000

## Properties
* excess energy over the best structure of this formula in the dataset: 0.0 kJ/mol of atoms
* ΔH_f (0 K): -62.1 kJ/mol of formula units
* symmetry: I-42d

***

This record from Alexandria via LeMat-Bulk describes a relaxed AcGd3Cu crystal. The functional is PBE.

a b c (Å): 5.5212 5.5212 5.5212
angles (deg): 90.00 90.00 90.00
Fractional coordinates of all 5 atoms:
1 Ac 0.0000 0.0000 0.0000
2 Gd 0.0000 0.5000 0.5000
3 Gd 0.5000 0.0000 0.5000
4 Gd 0.5000 0.5000 0.0000
5 Cu 0.5000 0.5000 0.5000

## Properties
* ΔH_f (0 K): 28.8 kJ/mol of formula units
* symmetry: Pm-3m

***

This record from Alexandria via LeMat-Bulk describes a relaxed AlCrIn2 crystal. The functional is PBE.

a b c (Å): 7.8238 7.8238 5.4849
angles (deg): 90.00 90.00 90.00
Fractional coordinates of all 16 atoms:
1 Al 0.0000 0.0000 0.0000
2 Al 0.0000 0.5000 0.2500
3 Al 0.5000 0.0000 0.7500
4 Al 0.5000 0.5000 0.5000
5 Cr 0.0000 0.0000 0.5000
6 Cr 0.0000 0.5000 0.7500
7 Cr 0.5000 0.0000 0.2500
8 Cr 0.5000 0.5000 0.0000
9 In 0.2152 0.2500 0.6250
10 In 0.2500 0.7152 0.8750
11 In 0.2500 0.7848 0.3750
12 In 0.2848 0.2500 0.1250
13 In 0.7152 0.7500 0.1250
14 In 0.7500 0.2152 0.3750
15 In 0.7500 0.2848 0.8750
16 In 0.7848 0.7500 0.6250

## Properties
* ΔH_f (0 K): 296.3 kJ/mol of formula units
* symmetry: I-42d

***

This record from Alexandria via LeMat-Bulk describes a relaxed NaSrCdPt crystal. The functional is PBE.

a b c (Å): 7.2471 7.2471 7.2471
angles (deg): 90.00 90.00 90.00
Fractional coordinates of all 16 atoms:
1 Na 0.0000 0.0000 0.0000
2 Na 0.0000 0.5000 0.5000
3 Na 0.5000 0.0000 0.5000
4 Na 0.5000 0.5000 0.0000
5 Sr 0.2500 0.2500 0.2500
6 Sr 0.2500 0.7500 0.7500
7 Sr 0.7500 0.2500 0.7500
8 Sr 0.7500 0.7500 0.2500
9 Cd 0.2500 0.2500 0.7500
10 Cd 0.2500 0.7500 0.2500
11 Cd 0.7500 0.2500 0.2500
12 Cd 0.7500 0.7500 0.7500
13 Pt 0.0000 0.0000 0.5000
14 Pt 0.0000 0.5000 0.0000
15 Pt 0.5000 0.0000 0.0000
16 Pt 0.5000 0.5000 0.5000

## Properties
* ΔH_f (0 K): -133.6 kJ/mol of formula units
* symmetry: F-43m

***

This record from Alexandria via LeMat-Bulk describes a relaxed TmFeH crystal. The functional is PBE.

a b c (Å): 3.0968 15.1896 3.5459
angles (deg): 90.00 90.00 90.00
Fractional coordinates of all 12 atoms:
1 Tm 0.0000 0.0966 0.2500
2 Tm 0.0000 0.9034 0.7500
3 Tm 0.5000 0.4034 0.7500
4 Tm 0.5000 0.5966 0.2500
5 Fe 0.0000 0.2450 0.7500
6 Fe 0.0000 0.7550 0.2500
7 Fe 0.5000 0.2550 0.2500
8 Fe 0.5000 0.7450 0.7500
9 H 0.0000 0.4558 0.2500
10 H 0.0000 0.5442 0.7500
11 H 0.5000 0.0442 0.7500
12 H 0.5000 0.9558 0.2500

## Properties
* uncorrected energy: -5.410 eV/atom
* symmetry: Cmcm

***

This record from Alexandria via LeMat-Bulk describes a relaxed TiAsSeN2 crystal. The functional is PBE.

a b c (Å): 3.7604 3.7604 5.2005
angles (deg): 90.00 90.00 90.00
Fractional coordinates of all 5 atoms:
1 Ti 0.0000 0.0000 0.0000
2 As 0.5000 0.5000 0.5000
3 Se 0.5000 0.5000 0.0000
4 N 0.0000 0.5000 0.5000
5 N 0.5000 0.0000 0.5000

## Properties
* excess energy over the best structure of this formula in the dataset: 50.1 kJ/mol of atoms
* symmetry: P4/mmm
* ΔE_f (raw): 0.959 eV/atom

***

This record from Alexandria via LeMat-Bulk describes a relaxed ZrTeS crystal. The functional is PBE.

a b c (Å): 3.7565 3.7565 7.6717
angles (deg): 76.82 76.50 60.00
Fractional coordinates of all 3 atoms:
1 Zr 0.0000 0.0000 0.0000
2 Te 0.2445 0.2505 0.2731
3 S 0.3943 0.3902 0.8126

## Properties
* excess energy over the best structure of this formula in the dataset: 11.5 kJ/mol of atoms
* symmetry: P1
* ΔE_f (raw): -1.084 eV/atom

***

This record from Alexandria via LeMat-Bulk describes a relaxed PmSm6Tm2 crystal. The functional is PBE.

a b c (Å): 3.6045 8.8108 9.5190
angles (deg): 90.26 100.91 90.06
Fractional coordinates of all 9 atoms:
1 Pm 0.0000 0.0000 0.0000
2 Sm 0.1097 0.6644 0.2189
3 Sm 0.2210 0.3348 0.4419
4 Sm 0.3332 0.0008 0.6673
5 Sm 0.6668 0.9992 0.3327
6 Sm 0.7790 0.6652 0.5581
7 Sm 0.8903 0.3356 0.7811
8 Tm 0.4448 0.6661 0.8897
9 Tm 0.5552 0.3339 0.1103

## Properties
* excess energy over the best structure of this formula in the dataset: 0.0 kJ/mol of atoms
* ΔH_f (0 K): 15.4 kJ/mol of formula units
* symmetry: P-1

***

This record from Alexandria via LeMat-Bulk describes a relaxed Cs2SbTe crystal. The functional is PBE.

a b c (Å): 13.4447 13.4447 6.0681
angles (deg): 90.00 90.00 90.00
Fractional coordinates of all 16 atoms:
1 Cs 0.0873 0.2500 0.1250
2 Cs 0.2500 0.5873 0.3750
3 Cs 0.2500 0.9127 0.8750
4 Cs 0.4127 0.2500 0.6250
5 Cs 0.5873 0.7500 0.6250
6 Cs 0.7500 0.0873 0.8750
7 Cs 0.7500 0.4127 0.3750
8 Cs 0.9127 0.7500 0.1250
9 Sb 0.0000 0.0000 0.5000
10 Sb 0.0000 0.5000 0.7500
11 Sb 0.5000 0.0000 0.2500
12 Sb 0.5000 0.5000 0.0000
13 Te 0.0000 0.0000 0.0000
14 Te 0.0000 0.5000 0.2500
15 Te 0.5000 0.0000 0.7500
16 Te 0.5000 0.5000 0.5000

## Properties
* excess energy over the best structure of this formula in the dataset: 25.5 kJ/mol of atoms
* symmetry: I-42d
* ΔE_f (raw): -0.358 eV/atom

***

This record from Alexandria via LeMat-Bulk describes a relaxed Rb4PuTh3Te8 crystal. The functional is PBE.

a b c (Å): 10.1642 10.1642 10.1642
angles (deg): 53.27 53.27 53.27
Fractional coordinates of all 16 atoms:
1 Rb 0.0000 0.0000 0.0000
2 Rb 0.0000 0.5000 0.5000
3 Rb 0.5000 0.0000 0.5000
4 Rb 0.5000 0.5000 0.0000
5 Pu 0.5000 0.5000 0.5000
6 Th 0.0000 0.0000 0.5000
7 Th 0.0000 0.5000 0.0000
8 Th 0.5000 0.0000 0.0000
9 Te 0.2333 0.7370 0.7370
10 Te 0.2364 0.2364 0.2364
11 Te 0.2630 0.2630 0.7667
12 Te 0.2630 0.7667 0.2630
13 Te 0.7370 0.2333 0.7370
14 Te 0.7370 0.7370 0.2333
15 Te 0.7636 0.7636 0.7636
16 Te 0.7667 0.2630 0.2630

## Properties
* symmetry: R-3m
* ΔE_f (raw): -1.167 eV/atom